This record from Alexandria via LeMat-Bulk describes a relaxed structure of NiHgTe2W. The functional is PBE-GGA.

Properties
formation energy without anion corrections	8.8	eV/f.u.
VASP energy	-16.5	eV/f.u.

a = 5.488 Å, b = 5.488 Å, c = 4.700 Å
α = 90.00°, β = 90.00°, γ = 90.00°
Sites, in units of the cell vectors:
1 Ni 0.000 0.000 0.000
2 Hg 0.000 0.000 0.500
3 Te 0.000 0.500 0.500
4 Te 0.500 0.000 0.500
5 W 0.500 0.500 0.000